Density functional theory data (PBEsol) for crystalline Al2SbAs at its relaxed geometry.

```
8
Lattice="7.4359 0.0000 0.0000 0.0000 3.5963 0.0000 -0.0105 0.0000 6.6907" Properties=species:S:1:pos:R:3 pbc="T T T"
Al 0.0000 0.0000 0.0000
Al 1.2297 0.0000 2.9787
Al 3.7179 1.7981 0.0000
Al 4.9477 1.7981 2.9787
Sb 1.5178 1.7981 5.1788
Sb 5.2358 0.0000 5.1788
As 3.4810 0.0000 1.8444
As 7.1990 1.7981 1.8444
```

Computed properties:
total magnetization: 0.00 Bohr magnetons per cell
VASP energy: -36.4 eV for the cell shown
energy above the lowest structure with this stoichiometry: 0.174 eV per atom
Fermi-level density of states: 0.283 states/eV per atom
formation energy (no corrections): -0.082 eV per atom



Density functional theory data (PBEsol) for crystalline AlSb2As at its relaxed geometry.

```
8
Lattice="3.7247 0.0000 0.0000 0.0000 3.8181 0.0000 0.0000 0.0000 13.0078" Properties=species:S:1:pos:R:3 pbc="T T T"
Al 0.0000 0.0000 0.0000
Al 1.8623 1.9091 6.5039
Sb 0.0000 1.9091 4.0767
Sb 0.0000 1.9091 8.9311
Sb 1.8623 0.0000 2.4272
Sb 1.8623 0.0000 10.5806
As 0.0000 0.0000 6.5039
As 1.8623 1.9091 0.0000
```

Computed properties:
total magnetization: 0.00 Bohr magnetons per cell
VASP energy: -35.7 eV for the cell shown
energy above the lowest structure with this stoichiometry: 0.132 eV per atom
Fermi-level density of states: 0.569 states/eV per atom
formation energy (no corrections): 0.114 eV per atom



Density functional theory data (PBEsol) for crystalline AlSb2As at its relaxed geometry.

```
16
Lattice="7.0443 0.0000 0.0000 0.0000 7.0443 0.0000 0.0000 0.0000 7.0443" Properties=species:S:1:pos:R:3 pbc="T T T"
Al 0.0000 0.0000 0.0000
Al 0.0000 3.5221 3.5221
Al 3.5221 0.0000 3.5221
Al 3.5221 3.5221 0.0000
Sb 1.7611 1.7611 1.7611
Sb 1.7611 1.7611 5.2832
Sb 1.7611 5.2832 1.7611
Sb 1.7611 5.2832 5.2832
Sb 5.2832 1.7611 1.7611
Sb 5.2832 1.7611 5.2832
Sb 5.2832 5.2832 1.7611
Sb 5.2832 5.2832 5.2832
As 0.0000 0.0000 3.5221
As 0.0000 3.5221 0.0000
As 3.5221 0.0000 0.0000
As 3.5221 3.5221 3.5221
```

Computed properties:
total magnetization: 0.00 Bohr magnetons per cell
VASP energy: -69.5 eV for the cell shown
energy above the lowest structure with this stoichiometry: 0.255 eV per atom
Fermi-level density of states: 0.375 states/eV per atom
formation energy (no corrections): 0.237 eV per atom



Density functional theory data (PBEsol) for crystalline Al2SbAs at its relaxed geometry.

```
4
Lattice="4.7229 0.0000 0.0000 0.0000 4.7229 0.0000 0.0000 0.0000 3.5073" Properties=species:S:1:pos:R:3 pbc="T T T"
Al 0.0000 2.3615 0.0000
Al 2.3615 0.0000 0.0000
Sb 0.0000 0.0000 1.7537
As 2.3615 2.3615 1.7537
```

Computed properties:
total magnetization: 0.00 Bohr magnetons per cell
VASP energy: -17.2 eV for the cell shown
energy above the lowest structure with this stoichiometry: 0.431 eV per atom
Fermi-level density of states: 0.490 states/eV per atom
formation energy (no corrections): 0.174 eV per atom



Density functional theory data (PBEsol) for crystalline AlSb2TeAs at its relaxed geometry.

```
5
Lattice="5.1669 0.0000 0.0000 0.0000 5.1669 0.0000 0.0000 0.0000 5.1350" Properties=species:S:1:pos:R:3 pbc="T T T"
Al 0.0000 0.0000 0.0000
Sb 0.0000 2.5835 0.0000
Sb 2.5835 0.0000 0.0000
Te 0.0000 0.0000 2.5675
As 2.5835 2.5835 2.5675
```

Computed properties:
total magnetization: 0.00 Bohr magnetons per cell
VASP energy: -18.5 eV for the cell shown
Fermi-level density of states: 0.817 states/eV per atom
formation energy (no corrections): 0.664 eV per atom



Density functional theory data (PBEsol) for crystalline TiAlSb2As at its relaxed geometry.

```
5
Lattice="5.3440 0.0000 0.0000 0.0000 5.3440 0.0000 0.0000 0.0000 4.7256" Properties=species:S:1:pos:R:3 pbc="T T T"
Ti 0.0000 0.0000 0.0000
Al 2.6720 2.6720 0.0000
Sb 0.0000 2.6720 2.3628
Sb 2.6720 0.0000 2.3628
As 0.0000 0.0000 2.3628
```

Computed properties:
total magnetization: 1.42 Bohr magnetons per cell
VASP energy: -23.4 eV for the cell shown
Fermi-level density of states: 1.029 states/eV per atom
formation energy (no corrections): 0.650 eV per atom



> Look up the formation energy (no corrections) of the third one.

0.237 eV per atom



> Which value of Fermi-level density of states does entry 3 give?

0.375 states/eV per atom